1.
Compound: TiI4
Source: Alexandria via LeMat-Bulk
Functional: PBE
Structure: optimized geometry

## Properties
**ρ**: 4.1 g cm⁻³
**Energy relative to the lowest polymorph listed for this composition**: 0 meV per atom

Unit cell a=8.507 b=6.951 c=9.838 alpha=77.47 beta=64.38 gamma=59.89
Atoms (fractional coordinates):
I (0.842, 0.703, 0.900)
Ti (0.924, 0.750, 0.152)
I (0.742, 0.203, 0.100)
I (0.158, 0.297, 0.100)
I (0.406, 0.243, 0.659)
I (0.065, 0.743, 0.341)
I (0.935, 0.257, 0.659)
Ti (0.076, 0.250, 0.848)
I (0.594, 0.757, 0.341)
I (0.258, 0.797, 0.900)


2.
Compound: CdHg2Au
Source: Alexandria via LeMat-Bulk
Functional: PBE
Structure: optimized geometry

## Properties
**ρ**: 13.0 g cm⁻³
**Energy relative to the lowest polymorph listed for this composition**: 89 meV per atom
**Energy relative to the elements**: 82 meV per atom
**Density of states at the Fermi level**: 1.1 states/eV/f.u.

Unit cell a=3.161 b=3.161 c=11.017 alpha=90.00 beta=90.00 gamma=124.75
Atoms (fractional coordinates):
Au (0.500, 0.500, 0.250)
Cd (0.500, 0.500, 0.750)
Hg (0.000, 0.000, 0.012)
Hg (0.000, 0.000, 0.488)